1.
DFT (PBE-GGA) results for an optimized crystal structure of TaReGeOs.

The value obtained for the mass density is 16.99 g/cm3. The value obtained for the total energy is -161.6 eV for the cell shown. The total magnetization is 0.0 μB/cell. The calculated formation energy is -0.065 eV/atom.

It has space group F-43m (No. 216), with a = 6.269 Å, b = 6.269 Å, c = 6.269 Å, α = 90.00°, β = 90.00° and γ = 90.00°. Symmetry generates all atoms from Ta at (0.000, 0.000, 0.000), Re at (0.250, 0.250, 0.250), Ge at (0.000, 0.000, 0.500) and Os at (0.250, 0.250, 0.750).


2.
DFT (PBE-GGA) results for an optimized crystal structure of ZrCr2Si.

For the uncorrected formation energy, the calculation gives 138 meV/atom. The value obtained for the mass density is 6.40 g/cm3. The value obtained for the total energy is -65.3 eV for the cell shown. The total magnetization is 1.5 μB/cell.

It has space group C2/m (No. 12), with a = 5.442 Å, b = 8.540 Å, c = 2.751 Å, α = 90.00°, β = 114.88° and γ = 90.00°. Symmetry generates all atoms from Zr at (0.000, 0.000, 0.000), Cr at (0.250, 0.250, 0.500) and Si at (0.000, 0.500, 0.000).


3.
DFT (PBE-GGA) results for an optimized crystal structure of Ba8HIr2.

The value obtained for the mass density is 4.77 g/cm3. The value obtained for the total energy is -76.5 eV for the cell shown. The total magnetization is 0.0 μB/cell.

It has space group C2/m (No. 12), with a = 14.783 Å, b = 9.240 Å, c = 7.578 Å, α = 90.00°, β = 92.20° and γ = 90.00°. Symmetry generates all atoms from Ba at (0.122, 0.000, 0.308), Ba at (0.124, 0.500, 0.285), Ba at (0.136, 0.264, 0.831), H at (0.000, 0.500, 0.000) and Ir at (0.238, 0.000, 0.999).


4.
DFT (PBE-GGA) results for an optimized crystal structure of Cd2ReAu.

The value obtained for the mass density is 13.86 g/cm3. The calculation puts the excess energy over the best structure of this formula in the dataset at 143 meV/atom. The value obtained for the total energy is -15.7 eV for the cell shown. The total magnetization is 0.0 μB/cell. The calculated formation energy is 0.469 eV/atom.

It has space group Pmmm (No. 47), with a = 2.811 Å, b = 4.335 Å, c = 5.977 Å, α = 90.00°, β = 90.00° and γ = 90.00°. Symmetry generates all atoms from Cd at (0.000, 0.000, 0.241), Re at (0.500, 0.500, 0.000) and Au at (0.500, 0.500, 0.500).